# TmAgPd5 (GGA-PBE, optimized geometry)
data_TmAgPd5
_symmetry_space_group_name_H-M 'I m m 2'
_symmetry_Int_Tables_number 44
_symmetry_space_group_name_Hall 'I 2 -2'
_cell_length_a 5.149
_cell_length_b 5.349
_cell_length_c 9.355
_cell_angle_alpha 90.00
_cell_angle_beta 90.00
_cell_angle_gamma 90.00
loop_
_atom_site_label
_atom_site_type_symbol
_atom_site_fract_x
_atom_site_fract_y
_atom_site_fract_z
_atom_site_occupancy
Tm1 Tm 0.000 0.000 0.000 1
Ag1 Ag 0.000 0.500 0.708 1
Pd1 Pd 0.000 0.000 0.729 1
Pd2 Pd 0.000 0.256 0.255 1
Pd3 Pd 0.248 0.500 0.982 1
# calculated total energy	-5.028	eV/atom
# spin magnetization	0.000	μB/f.u.
# formation energy from the elements	-0.27	eV per atom


# MnAg2Hg (GGA-PBE, optimized geometry)
data_MnAg2Hg
_symmetry_space_group_name_H-M 'F -4 3 m'
_symmetry_Int_Tables_number 216
_symmetry_space_group_name_Hall 'F -4 2 3'
_cell_length_a 6.633
_cell_length_b 6.633
_cell_length_c 6.633
_cell_angle_alpha 90.00
_cell_angle_beta 90.00
_cell_angle_gamma 90.00
loop_
_atom_site_label
_atom_site_type_symbol
_atom_site_fract_x
_atom_site_fract_y
_atom_site_fract_z
_atom_site_occupancy
Mn1 Mn 0.000 0.000 0.000 1
Ag1 Ag 0.000 0.000 0.500 1
Ag2 Ag 0.250 0.250 0.750 1
Hg1 Hg 0.250 0.250 0.250 1
# calculated total energy	-3.588	eV/atom
# spin magnetization	4.175	μB/f.u.
# formation energy from the elements	0.21	eV per atom